1.
Compound: SiAgW2
Source: the Alexandria database
Functional: PBE-GGA
Structure: relaxed

a b c (Å): 4.3732 2.7576 5.2738
angles (deg): 79.84 90.00 90.00
Positions (direct):
Ag: 0.0000 0.6550 0.5083
Si: 0.5000 0.5686 0.7504
W: 0.0000 0.0246 0.9934
W: 0.5000 0.2518 0.2479

Computed properties:
energy relative to the elements, uncorrected: 1.43 eV/f.u.
crystal system: monoclinic
total DFT energy (no corrections): -8.188 eV/atom
spin magnetization: 0.000 μB/f.u.
space group: Pm, No. 6

***

2.
Compound: Si4AgW
Source: the Alexandria database
Functional: PBE-GGA
Structure: relaxed

a b c (Å): 4.9609 4.9609 4.9609
angles (deg): 60.00 60.00 60.00
Positions (direct):
Si: 0.8718 0.3761 0.3761
Si: 0.3761 0.3761 0.8718
Si: 0.3761 0.8718 0.3761
Si: 0.3761 0.3761 0.3761
Ag: 0.0000 0.0000 0.0000
W: 0.7500 0.7500 0.7500

Computed properties:
energy relative to the elements, uncorrected: 3.46 eV/f.u.
crystal system: cubic
total DFT energy (no corrections): -5.673 eV/atom
spin magnetization: 0.000 μB/f.u.
space group: F-43m, No. 216

***

3.
Compound: SiAg2W
Source: the Alexandria database
Functional: PBE-GGA
Structure: relaxed

a b c (Å): 4.9460 4.9460 5.2404
angles (deg): 71.90 71.90 32.76
Positions (direct):
Ag: 0.0072 0.0072 0.9646
Ag: 0.7715 0.7715 0.7938
Si: 0.4891 0.4891 0.4153
W: 0.2322 0.2322 0.3263

Computed properties:
energy relative to the elements, uncorrected: 1.58 eV/f.u.
crystal system: monoclinic
total DFT energy (no corrections): -5.624 eV/atom
spin magnetization: 0.000 μB/f.u.
space group: Cm, No. 8

***

4.
Compound: Si3AgW
Source: the Alexandria database
Functional: PBE-GGA
Structure: relaxed

a b c (Å): 4.7724 4.7724 4.7724
angles (deg): 90.00 90.00 90.00
Positions (direct):
Si: 0.0000 0.5000 0.0000
Si: 0.0000 0.0000 0.5000
Si: 0.5000 0.0000 0.0000
Ag: 0.5000 0.5000 0.5000
W: 0.0000 0.0000 0.0000

Computed properties:
energy relative to the elements, uncorrected: 3.32 eV/f.u.
crystal system: cubic
total DFT energy (no corrections): -5.751 eV/atom
spin magnetization: 0.000 μB/f.u.
space group: Pm-3m, No. 221

***

5.
Compound: SiAg2W
Source: the Alexandria database
Functional: PBE-GGA
Structure: relaxed

a b c (Å): 2.7950 4.4200 5.3543
angles (deg): 90.00 90.00 90.00
Positions (direct):
Ag: 0.0000 0.0000 0.9979
Ag: 0.0000 0.0000 0.5021
Si: 0.5000 0.5000 0.2500
W: 0.5000 0.5000 0.7500

Computed properties:
energy relative to the elements, uncorrected: 2.41 eV/f.u.
crystal system: orthorhombic
total DFT energy (no corrections): -5.417 eV/atom
spin magnetization: 0.000 μB/f.u.
space group: Pmmm, No. 47

***

6.
Compound: SiAg2W
Source: the Alexandria database
Functional: PBE-GGA
Structure: relaxed

a b c (Å): 9.5589 9.5589 9.5589
angles (deg): 17.08 17.08 17.08
Positions (direct):
Ag: 0.9971 0.9971 0.9971
Ag: 0.5029 0.5029 0.5029
Si: 0.2500 0.2500 0.2500
W: 0.7500 0.7500 0.7500

Computed properties:
energy relative to the elements, uncorrected: 1.87 eV/f.u.
crystal system: trigonal
total DFT energy (no corrections): -5.553 eV/atom
spin magnetization: 0.000 μB/f.u.
space group: R-3m, No. 166